Material: ErZrCd
Method: DFT, PBE
State: optimized geometry

The structure in POSCAR format:
```
ErZrCd
1.0
-1.6961 -2.7408 -0.8199
3.3815 -2.8589 2.5615
-4.1292 1.8388 2.3953
Cd Zr Er
1 1 1
Direct
0.2088 0.3333 0.6667 Cd
0.1357 0.0000 0.0000 Zr
0.6555 0.6667 0.3333 Er
```

Computed properties:
- Formation energy: 0.06 eV/atom
- Energy relative to the lowest polymorph listed for this composition: 0.1954 eV/atom
- Energy: -0.340 Ry per atom

***

Material: ErZr2Cd
Method: DFT, PBE
State: optimized geometry

The structure in POSCAR format:
```
ErZr2Cd
1.0
-4.3037 1.7226 0.0050
-1.1327 -2.8394 3.3329
1.2416 3.0930 3.0570
Cd Zr Er
1 2 1
Direct
0.5000 0.5000 0.5000 Cd
0.0000 0.0000 0.5000 Zr
0.0000 0.5000 0.0000 Zr
0.5000 0.0000 0.0000 Er
```

Computed properties:
- Formation energy: -0.02 eV/atom
- Energy relative to the lowest polymorph listed for this composition: 0.0000 eV/atom
- Energy: -0.416 Ry per atom

***

Material: ErZr2Cd
Method: DFT, PBE
State: optimized geometry

The structure in POSCAR format:
```
ErZr2Cd
1.0
3.2620 0.0000 0.0000
0.0000 3.2620 0.0000
0.0000 0.0000 8.9949
Cd Zr Er
1 2 1
Direct
0.5000 0.5000 0.0000 Cd
0.0000 0.0000 0.7621 Zr
0.0000 0.0000 0.2379 Zr
0.5000 0.5000 0.5000 Er
```

Computed properties:
- Formation energy: 0.00 eV/atom
- Energy relative to the lowest polymorph listed for this composition: 0.0172 eV/atom
- Energy: -0.415 Ry per atom

***

Material: ErZrCd3
Method: DFT, PBE
State: optimized geometry

The structure in POSCAR format:
```
ErZrCd3
1.0
3.2780 0.0000 -0.4513
0.0000 4.8074 0.0000
0.3590 0.0000 14.7369
Er Zr Cd
2 2 6
Direct
0.9243 0.7500 0.8486 Er
0.0757 0.2500 0.1514 Er
0.2219 0.7500 0.4438 Zr
0.7781 0.2500 0.5562 Zr
0.6243 0.7500 0.2485 Cd
0.3757 0.2500 0.7515 Cd
0.5248 0.7500 0.0496 Cd
0.4752 0.2500 0.9504 Cd
0.6770 0.2500 0.3540 Cd
0.3230 0.7500 0.6460 Cd
```

Computed properties:
- Formation energy: -0.18 eV/atom
- Energy: -0.247 Ry per atom

***

Material: Er2ZrCd
Method: DFT, PBE
State: optimized geometry

The structure in POSCAR format:
```
Er2ZrCd
1.0
3.4268 0.0000 0.0000
0.0000 3.4268 0.0000
0.0000 0.0000 8.8790
Cd Zr Er
1 1 2
Direct
0.5000 0.5000 0.0000 Cd
0.5000 0.5000 0.5000 Zr
0.0000 0.0000 0.7543 Er
0.0000 0.0000 0.2457 Er
```

Computed properties:
- Formation energy: -0.14 eV/atom
- Energy relative to the lowest polymorph listed for this composition: 0.0000 eV/atom
- Energy: -0.352 Ry per atom

***

Material: Er2ZrCd
Method: DFT, PBE
State: optimized geometry

The structure in POSCAR format:
```
Er2ZrCd
1.0
-1.8477 -1.9233 1.8707
-1.9128 -2.2534 -1.3696
7.4494 -9.1537 0.7830
Cd Zr Er
1 1 2
Direct
0.5000 0.5000 0.5000 Cd
0.0000 0.0000 0.0000 Zr
0.0904 0.0904 0.7287 Er
0.9096 0.9096 0.2713 Er
```

Computed properties:
- Formation energy: 0.25 eV/atom
- Energy relative to the lowest polymorph listed for this composition: 0.3912 eV/atom
- Energy: -0.323 Ry per atom

***

In order of appearance, calculated density = 8.17, 8.09, 8.02, 8.49, 8.57, 8.33 Mg/m³.